Crystalline La3DyZn2 at its relaxed geometry, computed with PBE.

Mass density in g/cm³: 6.69
Space group: P4/mmm, No. 123
Excess energy over the best structure of this formula in the dataset in eV/atom: 0.0170
Spin magnetization in Bohr magnetons per cell: 0.0
Formation energy from the elements in eV/atom: -0.190
D(E_F) in states/eV per cell: 7.551

```
La3DyZn2
1.0
3.765 0.000 0.000
0.000 3.765 0.000
0.000 0.000 12.440
La Dy Zn
3 1 2
Direct
0.000 0.000 0.000 La
0.000 0.000 0.298 La
0.000 0.000 0.702 La
0.500 0.500 0.500 Dy
0.500 0.500 0.152 Zn
0.500 0.500 0.848 Zn
```